# 1
## Li2Pr2ErMg5 (PBE)

Data for a geometry-optimized Li2Pr2ErMg5 structure.

Calculated values
The electronic total energy comes out at -52.8 eV for the cell shown. The formation energy comes out at -49.6 meV/atom. Its space group is P4/mbm, No. 127.

```
Li2Pr2ErMg5
1.0
10.669 0.000 0.000
0.000 10.669 0.000
0.000 0.000 4.519
Li Pr Er Mg
4 4 2 10
Cartesian
1.209 4.125 0.000
4.125 9.460 0.000
6.544 1.209 0.000
9.460 6.544 0.000
1.938 7.273 0.000
3.396 1.938 0.000
7.273 8.731 0.000
8.731 3.396 0.000
0.000 0.000 0.000
5.334 5.334 0.000
0.000 5.334 2.259
0.646 2.278 2.259
2.278 10.023 2.259
3.057 4.689 2.259
4.689 7.612 2.259
5.334 0.000 2.259
5.980 3.057 2.259
7.612 5.980 2.259
8.391 0.646 2.259
10.023 8.391 2.259
```

=====

# 2
## BaTl6Pd4 (PBE)

Data for a geometry-optimized BaTl6Pd4 structure.

Calculated values
The electronic total energy comes out at -39.8 eV for the cell shown. The formation energy comes out at -263.5 meV/atom. Its space group is I-42m, No. 121.

```
BaTl6Pd4
1.0
-3.658 3.658 5.191
3.658 -3.658 5.191
3.658 3.658 -5.191
Ba Tl Pd
1 6 4
Cartesian
0.000 0.000 0.000
3.658 0.000 0.000
1.331 -1.331 3.058
-1.331 1.331 3.058
0.000 3.658 0.000
2.327 2.327 2.132
1.331 1.331 7.323
2.437 2.437 -0.788
1.221 -1.221 5.979
1.221 1.221 4.402
-1.221 1.221 5.979
```

=====

# 3
## TlWSe2 (PBE)

Data for a geometry-optimized TlWSe2 structure.

Calculated values
The electronic total energy comes out at -21.9 eV for the cell shown. The calculation puts the formation energy (no corrections) at 91 meV per atom. Its distance to the lowest polymorph of the same formula is 1.177 eV per formula unit. Its space group is Cm, No. 8.

```
TlWSe2
1.0
5.601 -1.646 0.000
5.601 1.646 0.000
-3.148 0.000 5.500
Tl W Se
1 1 2
Cartesian
0.000 0.000 0.000
4.932 0.000 5.295
0.261 0.000 3.652
3.231 0.000 1.529
```

=====

# 4
## Ti3In4Pd (PBE)

Data for a geometry-optimized Ti3In4Pd structure.

Calculated values
The electronic total energy comes out at -41.7 eV for the cell shown. The formation energy comes out at -228.4 meV/atom. Its distance to the lowest polymorph of the same formula is 0.000 eV per formula unit. Its space group is P4/mmm, No. 123.

```
Ti3In4Pd
1.0
3.056 0.000 0.000
0.000 3.056 0.000
0.000 0.000 16.195
Ti In Pd
3 4 1
Cartesian
0.000 0.000 0.000
0.000 0.000 4.186
0.000 0.000 12.009
1.528 1.528 2.086
1.528 1.528 6.233
1.528 1.528 9.962
1.528 1.528 14.109
0.000 0.000 8.098
```

=====

# 5
## Be2AlV2Fe5 (PBE)

Data for a geometry-optimized Be2AlV2Fe5 structure.

Calculated values
The electronic total energy comes out at -145.6 eV for the cell shown. The formation energy comes out at -107.4 meV/atom. Its space group is P4/mbm, No. 127.

```
Be2AlV2Fe5
1.0
8.368 0.000 0.000
0.000 8.368 0.000
0.000 0.000 3.143
Be Al V Fe
4 2 4 10
Cartesian
1.024 3.160 0.000
3.160 7.344 0.000
5.208 1.024 0.000
7.344 5.208 0.000
0.000 0.000 0.000
4.184 4.184 0.000
1.458 5.642 0.000
2.726 1.458 0.000
5.642 6.910 0.000
6.910 2.726 0.000
0.000 4.184 1.571
0.571 1.773 1.571
1.773 7.797 1.571
2.411 3.613 1.571
3.613 5.957 1.571
4.184 0.000 1.571
4.755 2.411 1.571
5.957 4.755 1.571
6.595 0.571 1.571
7.797 6.595 1.571
```

=====

# 6
## CaBeIr4 (PBE)

Data for a geometry-optimized CaBeIr4 structure.

Calculated values
The electronic total energy comes out at -40.6 eV for the cell shown. The formation energy comes out at 88.9 meV/atom. Its space group is F-43m, No. 216.

```
CaBeIr4
1.0
0.000 3.698 3.698
3.698 0.000 3.698
3.698 3.698 0.000
Ca Be Ir
1 1 4
Cartesian
0.000 0.000 0.000
1.849 1.849 1.849
4.620 2.777 2.777
2.777 4.620 2.777
2.777 2.777 4.620
4.620 4.620 4.620
```

=====

# 7
## UTlS3 (PBE)

Data for a geometry-optimized UTlS3 structure.

Calculated values
The electronic total energy comes out at -61.8 eV for the cell shown. The calculation puts the formation energy (no corrections) at -976 meV per atom. Its distance to the lowest polymorph of the same formula is 0.006 eV per formula unit. Its space group is C2/m, No. 12.

```
UTlS3
1.0
6.634 -2.628 0.000
6.634 2.628 0.000
-1.239 0.000 8.409
U Tl S
2 2 6
Cartesian
1.274 0.000 3.508
10.755 0.000 4.901
4.947 0.000 0.722
7.082 0.000 7.687
-0.035 0.000 5.755
2.030 0.000 1.147
3.716 0.000 4.658
8.313 0.000 3.751
9.998 0.000 7.262
12.063 0.000 2.654
```

=====

# 8
## Ac12MgCo7 (PBE)

Data for a geometry-optimized Ac12MgCo7 structure.

Calculated values
The electronic total energy comes out at -100.3 eV for the cell shown. The formation energy comes out at 15.9 meV/atom. Its space group is R-3, No. 148.

```
Ac12MgCo7
1.0
7.677 4.432 3.037
-7.677 4.432 3.037
0.000 -8.865 3.037
Ac Mg Co
12 1 7
Cartesian
-4.346 1.243 3.061
-1.569 -1.586 2.609
1.096 -4.385 3.061
-0.589 2.152 2.609
-3.249 -3.142 6.050
2.158 -0.566 2.609
-2.158 0.566 6.502
3.249 3.142 3.061
0.589 -2.152 6.502
-1.096 4.385 6.050
1.569 1.586 6.502
4.346 -1.243 6.050
0.000 0.000 0.000
-6.989 2.005 3.814
-5.231 -5.050 5.297
1.758 -7.055 3.814
0.000 0.000 4.556
-1.758 7.055 5.297
5.231 5.050 3.814
6.989 -2.005 5.297
```

=====

# 9
## ThPt5Pb (PBE)

Data for a geometry-optimized ThPt5Pb structure.

Calculated values
The electronic total energy comes out at -182.1 eV for the cell shown. The formation energy comes out at -599.4 meV/atom. Its space group is Pnma, No. 62.

```
ThPt5Pb
1.0
8.921 0.000 0.000
0.000 5.537 0.000
0.000 0.000 11.072
Th Pt Pb
4 20 4
Cartesian
2.178 1.384 0.485
2.282 4.153 6.021
6.639 1.384 5.051
6.742 4.153 10.587
0.683 2.795 8.947
0.683 5.511 8.947
0.773 1.384 6.524
0.789 4.153 0.253
1.511 4.153 2.988
2.950 1.384 8.524
3.671 1.384 5.789
3.687 4.153 0.988
3.778 0.027 3.411
3.778 2.742 3.411
5.143 2.795 7.660
5.143 5.511 7.660
5.233 1.384 10.083
5.249 4.153 5.282
5.971 4.153 2.548
7.410 1.384 8.084
8.132 1.384 10.818
8.148 4.153 4.547
8.238 0.027 2.124
8.238 2.742 2.124
1.212 1.384 3.879
3.248 4.153 9.415
5.673 1.384 1.657
7.708 4.153 7.193
```

=====

| no. | V (Å³ per cell) | total magnetization (μB per atom) | N(E_F) (states/eV/f.u.) |
| --- | --- | --- | --- |
| 1 | 514.36 | 0.0000 | 9.2 |
| 2 | 277.82 | 0.0000 | 7.3 |
| 3 | 101.37 | 0.0000 | 2.1 |
| 4 | 151.26 | 0.0000 | 5.5 |
| 5 | 220.08 | 0.4502 | 8.8 |
| 6 | 101.18 | 0.0000 | 6.3 |
| 7 | 293.21 | 0.2002 | 4.0 |
| 8 | 620.08 | 0.0000 | 16.1 |
| 9 | 546.93 | 0.0000 | 5.0 |